Record 1
This record from Alexandria via LeMat-Bulk describes a relaxed structure of Cr2SbP. The functional is PBE-GGA.

```
Cr2SbP
1.0
-1.4348 -1.8906 5.7888
-1.1606 -2.2343 -3.6898
1.5102 -2.8858 0.8488
Cr P Sb
2 1 1
Direct
0.0000 0.0000 0.0000
0.5000 0.0000 0.5000
0.0000 0.5000 0.5000
0.5000 0.5000 0.0000
```

Summary:
**Energy relative to the elements, uncorrected**: 0.37 eV/atom
**SG**: C2/m (12)

=====

Record 2
This record from Alexandria via LeMat-Bulk describes a relaxed structure of Li2SbPt5. The functional is PBE-GGA.

```
Li2SbPt5
1.0
4.0214 0.0000 0.0000
0.0000 5.5476 0.0000
0.0000 0.0000 10.9347
Li Sb Pt
4 2 10
Direct
0.5000 0.2907 0.3624
0.5000 0.7093 0.6376
0.5000 0.2093 0.8624
0.5000 0.7907 0.1376
0.0000 0.0000 0.5000
0.0000 0.5000 0.0000
0.5000 0.2661 0.1207
0.5000 0.7339 0.8793
0.5000 0.7661 0.3793
0.5000 0.2339 0.6207
0.0000 0.9685 0.7466
0.0000 0.0315 0.2534
0.0000 0.4685 0.7534
0.0000 0.5315 0.2466
0.0000 0.5000 0.5000
0.0000 0.0000 0.0000
```

Summary:
**Energy relative to the elements, uncorrected**: -0.54 eV/atom
**SG**: Pbam (55)

=====

Record 3
This record from Alexandria via LeMat-Bulk describes a relaxed structure of Rh5Au4. The functional is PBE-GGA.

```
Rh5Au4
1.0
0.5245 -6.2834 -0.3142
-0.8695 4.7942 4.0143
-5.7518 0.2869 -2.5866
Rh Au
5 4
Direct
0.0000 0.0000 0.0000
0.3401 0.3401 0.6802
0.3401 0.6599 0.0000
0.6599 0.3401 0.0000
0.6599 0.6599 0.3198
0.0000 0.3268 0.3268
0.0000 0.6732 0.6732
0.3268 0.0000 0.3268
0.6732 0.0000 0.6732
```

Summary:
**SG**: I4/mmm (139)
**Energy of formation from the pure elements**: 0.189 eV per atom

=====

Record 4
This record from Alexandria via LeMat-Bulk describes a relaxed structure of TmB4Pt12. The functional is PBE-GGA.

```
TmB4Pt12
1.0
6.8893 0.0000 0.0000
-2.2964 6.4953 0.0000
-2.2964 -3.2476 5.6251
Tm B Pt
1 4 12
Direct
0.0000 0.0000 0.0000
0.0000 0.5000 0.0000
0.5000 0.0000 0.0000
0.5000 0.5000 0.5000
0.0000 0.0000 0.5000
0.8217 0.3210 0.1428
0.3210 0.4993 0.1783
0.8572 0.1783 0.6790
0.3210 0.1428 0.8217
0.1428 0.8217 0.3210
0.6790 0.5007 0.8217
0.4993 0.1783 0.3210
0.5007 0.8217 0.6790
0.6790 0.8572 0.1783
0.8217 0.6790 0.5007
0.1783 0.3210 0.4993
0.1783 0.6790 0.8572
```

Summary:
**SG**: Im-3 (204)
**Energy of formation from the pure elements**: -0.380 eV per atom

=====

Record 5
This record from Alexandria via LeMat-Bulk describes a relaxed structure of SnAsRh. The functional is PBE-GGA.

```
SnAsRh
1.0
-3.2374 -1.2157 -2.7349
-2.7707 -3.2271 1.1606
-4.1918 0.9429 0.9891
As Rh Sn
1 1 1
Direct
0.0000 0.0000 0.0000
0.2500 0.2500 0.2500
0.5000 0.5000 0.5000
```

Summary:
**SG**: F-43m (216)
**Distance to the lowest polymorph of the same formula**: 32 kJ/mol of formula units
**Energy of formation from the pure elements**: -0.293 eV per atom

=====

Record 6
This record from Alexandria via LeMat-Bulk describes a relaxed structure of Ac2LaY5. The functional is PBE-GGA.

```
Ac2LaY5
1.0
7.4430 0.0000 0.0000
0.0000 7.3450 0.0000
0.0000 0.0000 20.7672
Ac La Y
8 4 20
Direct
0.7515 0.0000 0.5000
0.2485 0.5000 0.0000
0.2485 0.0000 0.5000
0.7515 0.5000 0.0000
0.5000 0.7367 0.6288
0.5000 0.2633 0.3712
0.5000 0.7633 0.1288
0.5000 0.2367 0.8712
0.0000 0.2383 0.8719
0.0000 0.7617 0.1281
0.0000 0.2617 0.3719
0.0000 0.7383 0.6281
0.7523 0.0000 0.0000
0.2477 0.5000 0.5000
0.2477 0.0000 0.0000
0.7523 0.5000 0.5000
0.0000 0.2475 0.6274
0.0000 0.7525 0.3726
0.0000 0.2525 0.1274
0.0000 0.7475 0.8726
0.5000 0.2442 0.6279
0.5000 0.7558 0.3721
0.5000 0.2558 0.1279
0.5000 0.7442 0.8721
0.7542 0.4898 0.7505
0.7542 0.5102 0.2495
0.2458 0.0102 0.2505
0.2458 0.9898 0.7495
0.2458 0.5102 0.2495
0.2458 0.4898 0.7505
0.7542 0.9898 0.7495
0.7542 0.0102 0.2505
```

Summary:
**SG**: Pbam (55)
**Energy of formation from the pure elements**: 0.029 eV per atom

=====

Record 7
This record from Alexandria via LeMat-Bulk describes a relaxed structure of ScFe2Te. The functional is PBE-GGA.

```
ScFe2Te
1.0
4.5586 0.0000 0.0000
2.2793 3.9479 0.0000
2.2793 1.3160 3.7221
Fe Sc Te
2 1 1
Direct
0.0000 0.0000 0.0000
0.2500 0.2500 0.2500
0.5000 0.5000 0.5000
0.7500 0.7500 0.7500
```

Summary:
**Energy relative to the elements, uncorrected**: 0.10 eV/atom
**SG**: F-43m (216)

=====

Record 8
This record from Alexandria via LeMat-Bulk describes a relaxed structure of Tb2CePm9. The functional is PBE-GGA.

```
Tb2CePm9
1.0
5.1266 0.0000 0.0000
0.0000 5.1266 0.0000
0.0000 0.0000 15.3836
Tb Ce Pm
2 1 9
Direct
0.0000 0.0000 0.3329
0.0000 0.0000 0.6671
0.0000 0.0000 0.0000
0.5000 0.5000 0.0000
0.5000 0.5000 0.3343
0.5000 0.5000 0.6657
0.5000 0.0000 0.1652
0.5000 0.0000 0.5000
0.5000 0.0000 0.8348
0.0000 0.5000 0.1652
0.0000 0.5000 0.5000
0.0000 0.5000 0.8348
```

Summary:
**SG**: P4/mmm (123)
**Energy of formation from the pure elements**: 0.037 eV per atom

=====

Record 9
This record from Alexandria via LeMat-Bulk describes a relaxed structure of Ac3TmPb4. The functional is PBE-GGA.

```
Ac3TmPb4
1.0
-2.3717 -6.2950 1.2770
6.0667 -1.7491 2.6452
-3.6414 3.5412 10.6929
Ac Tm Pb
6 2 8
Direct
0.4699 0.9591 0.0000
0.1742 0.7330 0.2497
0.6742 0.2670 0.2503
0.9699 0.0409 0.5000
0.6742 0.2670 0.7497
0.1742 0.7330 0.7503
0.9507 0.4763 0.0000
0.4507 0.5237 0.5000
0.9576 0.9847 0.0000
0.4448 0.4726 0.0000
0.1718 0.2336 0.2185
0.6718 0.7664 0.2815
0.9448 0.5274 0.5000
0.4576 0.0153 0.5000
0.6718 0.7664 0.7185
0.1718 0.2336 0.7815
```

Summary:
**SG**: Pmn2_1 (31)
**Distance to the lowest polymorph of the same formula**: 30 kJ/mol of formula units
**Energy of formation from the pure elements**: -0.400 eV per atom

=====

Record 10
This record from Alexandria via LeMat-Bulk describes a relaxed structure of K2CaBe. The functional is PBE-GGA.

```
K2CaBe
1.0
4.5740 0.0000 0.0000
0.0000 7.3166 1.0274
0.0000 4.2885 6.1687
Be Ca K
1 1 2
Direct
0.5000 0.2500 0.2500
0.5000 0.7500 0.7500
0.0000 0.0871 0.0859
0.0000 0.4129 0.4141
```

Summary:
**SG**: P2/m (10)
**Energy of formation from the pure elements**: 0.617 eV per atom

=====

Record 11
This record from Alexandria via LeMat-Bulk describes a relaxed structure of Er2NbZn. The functional is PBE-GGA.

```
Er2NbZn
1.0
-1.5114 -0.6230 -2.7168
0.6404 -2.6641 -1.5955
-8.0626 -6.2632 4.0714
Nb Zn Er
1 1 2
Direct
0.0000 0.0000 0.0000
0.5000 0.5000 0.5000
0.0918 0.0918 0.7245
0.9082 0.9082 0.2755
```

Summary:
**SG**: R-3m (166)
**Distance to the lowest polymorph of the same formula**: 174 kJ/mol of formula units
**Energy of formation from the pure elements**: 0.456 eV per atom

=====

Record 12
This record from Alexandria via LeMat-Bulk describes a relaxed structure of Ba3GaAs. The functional is PBE-GGA.

```
Ba3GaAs
1.0
-0.7306 6.1588 -1.2671
-5.7775 -1.1609 -2.3114
-2.4813 0.8897 5.7552
As Ba Ga
1 3 1
Direct
0.0000 0.0000 0.0000
0.0000 0.5000 0.0000
0.0000 0.0000 0.5000
0.5000 0.0000 0.0000
0.5000 0.5000 0.5000
```

Summary:
**SG**: Pm-3m (221)
**Distance to the lowest polymorph of the same formula**: 111 kJ/mol of formula units
**Energy of formation from the pure elements**: -0.397 eV per atom